1.
# PuAl2Pd GGA-PBE relaxed
data_PuAl2Pd
_space_group_name_H-M_alt 'P 1'
_space_group_IT_number 1
_space_group_name_Hall 'P 1'
_cell_length_a 4.7163
_cell_length_b 4.7163
_cell_length_c 4.7163
_cell_angle_alpha 60.00
_cell_angle_beta 60.00
_cell_angle_gamma 60.00
loop_
_atom_site_label
_atom_site_fract_x
_atom_site_fract_y
_atom_site_fract_z
Al1 0.2500 0.2500 0.2500
Al2 0.7500 0.7500 0.7500
Pd1 0.5000 0.5000 0.5000
Pu1 0.0000 0.0000 0.0000
# calculated formation energy = -294.0 meV/atom
# space group = Fm-3m, No. 225

---

2.
# Ac2CoIr GGA-PBE relaxed
data_Ac2CoIr
_space_group_name_H-M_alt 'P 1'
_space_group_IT_number 1
_space_group_name_Hall 'P 1'
_cell_length_a 3.7440
_cell_length_b 5.1927
_cell_length_c 5.1927
_cell_angle_alpha 90.00
_cell_angle_beta 90.00
_cell_angle_gamma 90.00
loop_
_atom_site_label
_atom_site_fract_x
_atom_site_fract_y
_atom_site_fract_z
Ac1 0.0000 0.0000 0.5000
Ac2 0.0000 0.5000 0.0000
Ir1 0.5000 0.0000 0.0000
Co1 0.5000 0.5000 0.5000
# calculated formation energy = -121.8 meV/atom
# space group = P4/mmm, No. 123

---

3.
# Mn2PPb GGA-PBE relaxed
data_Mn2PPb
_space_group_name_H-M_alt 'P 1'
_space_group_IT_number 1
_space_group_name_Hall 'P 1'
_cell_length_a 3.5858
_cell_length_b 3.5858
_cell_length_c 6.6800
_cell_angle_alpha 74.34
_cell_angle_beta 74.34
_cell_angle_gamma 59.95
loop_
_atom_site_label
_atom_site_fract_x
_atom_site_fract_y
_atom_site_fract_z
Mn1 0.0350 0.0350 0.8940
Mn2 0.4650 0.4650 0.6060
P1 0.7500 0.7500 0.7500
Pb1 0.2500 0.2500 0.2500
# calculated formation energy = -2.4 meV/atom
# space group = C2/m, No. 12

---

4.
# La3Ge2Pb GGA-PBE relaxed
data_La3Ge2Pb
_space_group_name_H-M_alt 'P 1'
_space_group_IT_number 1
_space_group_name_Hall 'P 1'
_cell_length_a 4.1124
_cell_length_b 4.9387
_cell_length_c 8.8495
_cell_angle_alpha 90.00
_cell_angle_beta 103.44
_cell_angle_gamma 90.00
loop_
_atom_site_label
_atom_site_fract_x
_atom_site_fract_y
_atom_site_fract_z
La1 0.3345 0.0000 0.6689
La2 0.6655 0.0000 0.3311
La3 0.5000 0.5000 0.0000
Ge1 0.1966 0.5000 0.3931
Ge2 0.8034 0.5000 0.6069
Pb1 0.0000 0.0000 0.0000
# calculated formation energy = -606.3 meV/atom
# space group = Cmmm, No. 65

---

5.
# Ac2TbPr4Dy GGA-PBE relaxed
data_Ac2TbPr4Dy
_space_group_name_H-M_alt 'P 1'
_space_group_IT_number 1
_space_group_name_Hall 'P 1'
_cell_length_a 3.7662
_cell_length_b 6.4093
_cell_length_c 12.4842
_cell_angle_alpha 79.64
_cell_angle_beta 90.00
_cell_angle_gamma 90.00
loop_
_atom_site_label
_atom_site_fract_x
_atom_site_fract_y
_atom_site_fract_z
Ac1 0.0000 0.0000 0.0000
Ac2 0.5000 0.0000 0.5000
Tb1 0.5000 0.5000 0.0000
Pr1 0.0000 0.7454 0.7527
Pr2 0.0000 0.2546 0.2473
Pr3 0.5000 0.7451 0.2532
Pr4 0.5000 0.2549 0.7468
Dy1 0.0000 0.5000 0.5000
# calculated formation energy = 33.7 meV/atom
# space group = P2/m, No. 10

---

6.
# LiHoUS3 GGA-PBE relaxed
data_LiHoUS3
_space_group_name_H-M_alt 'P 1'
_space_group_IT_number 1
_space_group_name_Hall 'P 1'
_cell_length_a 3.7392
_cell_length_b 8.0620
_cell_length_c 8.3496
_cell_angle_alpha 103.20
_cell_angle_beta 90.00
_cell_angle_gamma 90.00
loop_
_atom_site_label
_atom_site_fract_x
_atom_site_fract_y
_atom_site_fract_z
Li1 0.2500 0.0881 0.5791
Li2 0.7500 0.9119 0.4209
Ho1 0.2500 0.6621 0.1654
Ho2 0.7500 0.3379 0.8346
U1 0.2500 0.1745 0.2068
U2 0.7500 0.8255 0.7932
S1 0.7500 0.9023 0.1385
S2 0.2500 0.0977 0.8615
S3 0.2500 0.7826 0.5128
S4 0.7500 0.2174 0.4872
S5 0.7500 0.4232 0.1730
S6 0.2500 0.5768 0.8270
# DFT total energy = -6.54 eV per atom
# space group = P2_1/m, No. 11

---

7.
# Mg2AlFe GGA-PBE relaxed
data_Mg2AlFe
_space_group_name_H-M_alt 'P 1'
_space_group_IT_number 1
_space_group_name_Hall 'P 1'
_cell_length_a 4.9125
_cell_length_b 4.9125
_cell_length_c 4.9125
_cell_angle_alpha 131.79
_cell_angle_beta 131.79
_cell_angle_gamma 70.56
loop_
_atom_site_label
_atom_site_fract_x
_atom_site_fract_y
_atom_site_fract_z
Al1 0.5000 0.5000 0.0000
Fe1 0.7500 0.2500 0.5000
Mg1 0.0000 0.0000 0.0000
Mg2 0.2500 0.7500 0.5000
# calculated formation energy = 96.2 meV/atom
# space group = I-4m2, No. 119